Record 1
A relaxed structure of Er5URu6, computed with PBE-GGA. Values from VASP.

Quantum ESPRESSO input file:
```
&SYSTEM
  ibrav = 0, nat = 12, ntyp = 3
/
ATOMIC_SPECIES
Er 167.26 Er.upf
U 238.03 U.upf
Ru 101.07 Ru.upf
CELL_PARAMETERS angstrom
-2.413 3.396 7.035
2.413 -3.396 7.035
2.413 3.396 -7.035
ATOMIC_POSITIONS crystal
Er 0.000 0.000 0.000
Er 0.163 0.663 0.500
Er 0.324 0.324 0.000
Er 0.676 0.676 0.000
Er 0.837 0.337 0.500
U 0.500 0.000 0.500
Ru 0.115 0.845 0.269
Ru 0.272 0.500 0.772
Ru 0.424 0.155 0.269
Ru 0.576 0.845 0.731
Ru 0.728 0.500 0.228
Ru 0.885 0.155 0.731
```

Properties
Its space group is Immm, No. 71. As for the crystal system: orthorhombic. The volume comes out at 230.6 Å³/cell. The calculated total energy is -95.54 eV per cell.



Record 2
A relaxed structure of LaNpNbN3, computed with PBE-GGA. Values from VASP.

Quantum ESPRESSO input file:
```
&SYSTEM
  ibrav = 0, nat = 12, ntyp = 4
/
ATOMIC_SPECIES
La 138.91 La.upf
Np 237.00 Np.upf
Nb 92.91 Nb.upf
N 14.01 N.upf
CELL_PARAMETERS angstrom
7.347 0.000 0.000
0.000 3.374 0.000
-0.696 0.000 8.304
ATOMIC_POSITIONS crystal
La 0.147 0.250 0.183
La 0.853 0.750 0.817
Np 0.366 0.750 0.852
Np 0.634 0.250 0.148
Nb 0.130 0.250 0.575
Nb 0.870 0.750 0.425
N 0.147 0.250 0.846
N 0.165 0.750 0.424
N 0.410 0.750 0.109
N 0.590 0.250 0.891
N 0.835 0.250 0.576
N 0.853 0.750 0.154
```

Properties
The uncorrected formation energy is -0.9274 eV per atom. Its space group is P2_1/m, No. 11. As for the crystal system: monoclinic. The volume comes out at 205.8 Å³/cell. The calculated total energy is -116.96 eV per cell.



Record 3
A relaxed structure of Ti3ZnFe4, computed with PBE-GGA. Values from VASP.

Quantum ESPRESSO input file:
```
&SYSTEM
  ibrav = 0, nat = 8, ntyp = 3
/
ATOMIC_SPECIES
Ti 47.87 Ti.upf
Zn 65.41 Zn.upf
Fe 55.84 Fe.upf
CELL_PARAMETERS angstrom
2.962 0.000 0.000
0.000 2.962 0.000
0.000 0.000 11.567
ATOMIC_POSITIONS crystal
Ti 0.000 0.000 0.000
Ti 0.000 0.000 0.257
Ti 0.000 0.000 0.743
Zn 0.000 0.000 0.500
Fe 0.500 0.500 0.126
Fe 0.500 0.500 0.375
Fe 0.500 0.500 0.625
Fe 0.500 0.500 0.874
```

Properties
Its space group is P4/mmm, No. 123. As for the crystal system: tetragonal. The volume comes out at 101.5 Å³/cell. The calculated total energy is -60.79 eV per cell.



Record 4
A relaxed structure of In2PtPb, computed with PBE-GGA. Values from VASP.

Quantum ESPRESSO input file:
```
&SYSTEM
  ibrav = 0, nat = 4, ntyp = 3
/
ATOMIC_SPECIES
In 114.82 In.upf
Pt 195.08 Pt.upf
Pb 207.20 Pb.upf
CELL_PARAMETERS angstrom
-2.296 2.296 4.421
2.296 -2.296 4.421
2.296 2.296 -4.421
ATOMIC_POSITIONS crystal
In 0.000 0.000 0.000
In 0.750 0.250 0.500
Pt 0.500 0.500 0.000
Pb 0.250 0.750 0.500
```

Properties
Its space group is I-4m2, No. 119. As for the crystal system: tetragonal. The volume comes out at 93.2 Å³/cell. The calculated total energy is -15.07 eV per cell.



Record 5
A relaxed structure of SrTaW2, computed with PBE-GGA. Values from VASP.

Quantum ESPRESSO input file:
```
&SYSTEM
  ibrav = 0, nat = 4, ntyp = 3
/
ATOMIC_SPECIES
Sr 87.62 Sr.upf
Ta 180.95 Ta.upf
W 183.84 W.upf
CELL_PARAMETERS angstrom
1.672 -2.344 0.000
1.672 2.344 0.000
0.000 0.000 10.048
ATOMIC_POSITIONS crystal
Sr 0.000 0.000 0.000
Ta 0.000 0.000 0.500
W 0.500 0.500 0.283
W 0.500 0.500 0.717
```

Properties
Its space group is Cmmm, No. 65. As for the crystal system: orthorhombic. The volume comes out at 78.8 Å³/cell. The calculated total energy is -36.52 eV per cell. The calculation puts the excess energy over the best structure of this formula in the dataset at 0.83 kcal/mol of atoms.



Record 6
A relaxed structure of Tb3Ce4Se8, computed with PBE-GGA. Values from VASP.

Quantum ESPRESSO input file:
```
&SYSTEM
  ibrav = 0, nat = 15, ntyp = 3
/
ATOMIC_SPECIES
Tb 158.93 Tb.upf
Ce 140.12 Ce.upf
Se 78.96 Se.upf
CELL_PARAMETERS angstrom
4.098 2.366 7.688
-4.098 2.366 7.688
0.000 -4.732 7.688
ATOMIC_POSITIONS crystal
Tb 0.000 0.500 0.500
Tb 0.500 0.000 0.500
Tb 0.500 0.500 0.000
Ce 0.000 0.000 0.000
Ce 0.146 0.146 0.146
Ce 0.500 0.500 0.500
Ce 0.854 0.854 0.854
Se 0.250 0.250 0.734
Se 0.250 0.734 0.250
Se 0.266 0.750 0.750
Se 0.268 0.268 0.268
Se 0.732 0.732 0.732
Se 0.734 0.250 0.250
Se 0.750 0.266 0.750
Se 0.750 0.750 0.266
```

Properties
The uncorrected formation energy is -1.5962 eV per atom. Its space group is R-3m, No. 166. As for the crystal system: trigonal. The volume comes out at 447.2 Å³/cell. The calculated total energy is -89.45 eV per cell. The calculation puts the excess energy over the best structure of this formula in the dataset at 5.21 kcal/mol of atoms.